CdAu3: relaxed, GGA-PBEsol.

Cell and atoms, written as POSCAR:
```
CdAu3
1.0
3.000 0.000 0.000
0.000 4.723 0.000
0.000 0.000 4.928
Cd Au
1 3
Cartesian
0.000 0.000 0.000
0.000 2.362 3.227
1.500 0.000 2.464
1.500 2.362 0.772
```

Formation enthalpy at 0 K, eV/atom: -0.1035
Crystal system: orthorhombic
Spin magnetization, μB per cell: 0.00
E, eV/f.u.: -13.38
Space group: Pmm2, No. 25
D(E_F), states/eV per atom: 0.256